Entry from OQMD: a relaxed SrCuIrW crystal (GGA-PBE).

Output
SG = F-43m, No. 216
Relative energy among the computed polymorphs = 0.579 eV/atom

```
4
Lattice="0.000 3.278 3.278 3.278 0.000 3.278 3.278 3.278 0.000" Properties=species:S:1:pos:R:3 pbc="T T T"
Sr 1.639 1.639 1.639
W 0.000 0.000 0.000
Ir 3.278 3.278 3.278
Cu 4.917 4.917 4.917
```